First-principles (GGA-PBE) data for a relaxed structure of ZrUTcIr, as listed in Alexandria via LeMat-Bulk.

Calculated values
The value obtained for the total moment is 2.10 μB per formula unit. The calculation puts the energy of formation from the pure elements at -0.35 eV per atom. Its total DFT energy (no corrections) is -10.113 eV/atom.

Cell: 6.7003 6.7003 6.7003 Å, 90.00 90.00 90.00°
With the nearest neighbours (Å) after each atom.
Space group F-43m (No. 216)
Inequivalent atoms, fractional coordinates:
Zr: 0.0000 0.0000 0.0000 (multiplicity 4)  4 Tc 2.90, 4 Ir 2.90
U: 0.0000 0.0000 0.5000 (multiplicity 4)  4 Tc 2.90, 4 Ir 2.90
Tc: 0.2500 0.2500 0.2500 (multiplicity 4)  4 Zr 2.90, 4 U 2.90
Ir: 0.2500 0.2500 0.7500 (multiplicity 4)  4 Zr 2.90, 4 U 2.90



First-principles (GGA-PBE) data for a relaxed structure of SrTcIr, as listed in Alexandria via LeMat-Bulk.

Calculated values
The value obtained for the total moment is 0.00 μB per formula unit. As for the energy above the most stable polymorph in this dataset: 45 meV per atom. The calculation puts the energy of formation from the pure elements at 0.05 eV per atom. Its total DFT energy (no corrections) is -6.921 eV/atom.

Cell: 4.4515 11.2745 5.2515 Å, 90.00 90.00 90.00°
With the nearest neighbours (Å) after each atom.
Space group Cmcm (No. 63)
Inequivalent atoms, fractional coordinates:
Sr: 0.0000 0.2206 0.2500 (multiplicity 4)  3 Ir 2.96-3.31
Tc: 0.0000 0.5000 0.0000 (multiplicity 4)  2 Tc 2.63, 4 Ir 2.63
Ir: 0.0000 0.0422 0.7500 (multiplicity 4)  4 Tc 2.63, 2 Ir 2.79



First-principles (GGA-PBE) data for a relaxed structure of Ta4TiMo5, as listed in Alexandria via LeMat-Bulk.

Calculated values
The value obtained for the total moment is 0.00 μB per formula unit. The calculation puts the energy of formation from the pure elements at -0.16 eV per atom. Its total DFT energy (no corrections) is -11.111 eV/atom.

Cell: 3.2217 3.2217 16.0617 Å, 90.00 90.00 90.00°
With the nearest neighbours (Å) after each atom.
Space group P4/mmm (No. 123)
Inequivalent atoms, fractional coordinates:
Ta: 0.0000 0.0000 0.1007 (multiplicity 2)  8 Mo 2.79-2.80
Ta: 0.0000 0.0000 0.3023 (multiplicity 2)  8 Mo 2.79
Ti: 0.0000 0.0000 0.5000 (multiplicity 1)  8 Mo 2.77
Mo: 0.5000 0.5000 0.0000 (multiplicity 1)  8 Ta 2.79
Mo: 0.5000 0.5000 0.2016 (multiplicity 2)  8 Ta 2.79-2.80
Mo: 0.5000 0.5000 0.4022 (multiplicity 2)  4 Ti 2.77, 4 Ta 2.79



First-principles (GGA-PBE) data for a relaxed structure of SmZn9Au2, as listed in Alexandria via LeMat-Bulk.

Calculated values
The value obtained for the total moment is 0.00 μB per formula unit. As for the energy above the most stable polymorph in this dataset: 115 meV per atom. The calculation puts the energy of formation from the pure elements at -0.17 eV per atom. Its total DFT energy (no corrections) is -2.070 eV/atom.

Cell: 8.7611 8.7611 3.1552 Å, 90.00 90.00 120.00°
With the nearest neighbours (Å) after each atom.
Space group P6/mmm (No. 191)
Inequivalent atoms, fractional coordinates:
Sm: 0.0000 0.0000 0.0000 (multiplicity 1)  2 Sm 3.16, 12 Zn 3.19
Zn: 0.0000 0.5000 0.0000 (multiplicity 3)  2 Au 2.53
Zn: 0.1824 0.3648 0.5000 (multiplicity 6)  6 Zn 2.77-2.89, 2 Au 2.78
Au: 0.3333 0.6667 0.0000 (multiplicity 2)  9 Zn 2.53-2.78



First-principles (GGA-PBE) data for a relaxed structure of BaSn4Bi2, as listed in Alexandria via LeMat-Bulk.

Calculated values
The value obtained for the total moment is 0.00 μB per formula unit. As for the energy above the most stable polymorph in this dataset: 0 meV per atom. The calculation puts the energy of formation from the pure elements at -0.20 eV per atom. Its total DFT energy (no corrections) is -3.874 eV/atom.

Cell: 4.3563 6.7798 8.1897 Å, 76.82 89.53 71.73°
With the nearest neighbours (Å) after each atom.
Space group P-1 (No. 2)
Inequivalent atoms, fractional coordinates:
Ba: 0.0000 0.0000 0.0000 (multiplicity 1)  6 Sn 3.62-3.69, 6 Bi 3.78-3.81
Sn: 0.1389 0.7042 0.4449 (multiplicity 2)  1 Bi 3.23, 6 Sn 3.25-3.44
Sn: 0.4367 0.1227 0.3183 (multiplicity 2)  3 Sn 3.02-3.32, 2 Bi 3.32-3.37
Bi: 0.2589 0.4884 0.8436 (multiplicity 2)  3 Sn 3.23-3.37, 2 Bi 3.39-3.40



First-principles (GGA-PBE) data for a relaxed structure of Mg10ZnIn6, as listed in Alexandria via LeMat-Bulk.

Calculated values
The value obtained for the total moment is 0.00 μB per formula unit. The calculation puts the energy of formation from the pure elements at -0.04 eV per atom. Its total DFT energy (no corrections) is -2.016 eV/atom.

Cell: 8.6207 8.6207 6.1672 Å, 90.00 90.00 120.00°
With the nearest neighbours (Å) after each atom.
Space group P-31m (No. 162)
Inequivalent atoms, fractional coordinates:
Mg: 0.0000 0.2556 0.2865 (multiplicity 6)  1 Zn 2.82, 4 In 2.97-3.16
Mg: 0.3333 0.6667 0.0000 (multiplicity 2)  6 In 3.04, 2 Mg 3.08
Mg: 0.3333 0.6667 0.5000 (multiplicity 2)  2 Mg 3.08, 6 In 3.12
Zn: 0.0000 0.0000 0.0000 (multiplicity 1)  6 Mg 2.82
In: 0.0000 0.3892 0.7640 (multiplicity 6)  8 Mg 2.97-3.16



First-principles (GGA-PBE) data for a relaxed structure of Er2Cd2C, as listed in Alexandria via LeMat-Bulk.

Calculated values
The value obtained for the total moment is 0.00 μB per formula unit. The calculation puts the energy of formation from the pure elements at -0.28 eV per atom. Its total DFT energy (no corrections) is -4.317 eV/atom.

Cell: 3.5335 3.5335 30.8885 Å, 90.00 90.00 120.00°
With the nearest neighbours (Å) after each atom.
Space group R-3m (No. 166, hexagonal axes)
Inequivalent atoms, fractional coordinates:
Er: 0.0000 0.0000 0.1235 (multiplicity 6)  3 C 2.44
Cd: 0.0000 0.0000 0.3711 (multiplicity 6)  3 Cd 3.10, 3 Er 3.34
C: 0.0000 0.0000 0.5000 (multiplicity 3)  6 Er 2.44



First-principles (GGA-PBE) data for a relaxed structure of ReNiAu2, as listed in Alexandria via LeMat-Bulk.

Calculated values
The value obtained for the total moment is 1.32 μB per formula unit. As for the energy above the most stable polymorph in this dataset: 368 meV per atom. The calculation puts the energy of formation from the pure elements at 0.54 eV per atom. Its total DFT energy (no corrections) is -5.658 eV/atom.

Cell: 2.7602 4.7690 9.5174 Å, 90.00 90.00 90.00°
With the nearest neighbours (Å) after each atom.
Space group Immm (No. 71)
Inequivalent atoms, fractional coordinates:
Re: 0.0000 0.0000 0.0000 (multiplicity 2)  4 Ni 2.76, 2 Re 2.76, 4 Au 2.85
Ni: 0.0000 0.0000 0.5000 (multiplicity 2)  4 Au 2.65, 4 Re 2.76, 2 Ni 2.76
Au: 0.0000 0.5000 0.2381 (multiplicity 4)  2 Ni 2.65, 6 Au 2.76, 2 Re 2.85



First-principles (GGA-PBE) data for a relaxed structure of K2MgTc, as listed in Alexandria via LeMat-Bulk.

Calculated values
The value obtained for the total moment is 0.83 μB per formula unit. The calculation puts the energy of formation from the pure elements at 0.85 eV per atom. Its total DFT energy (no corrections) is -2.684 eV/atom.

Cell: 9.5669 2.8895 9.7809 Å, 90.00 91.75 90.00°
With the nearest neighbours (Å) after each atom.
Space group Cm (No. 8)
Inequivalent atoms, fractional coordinates:
K: 0.0000 0.0000 0.0000 (multiplicity 2)  2 K 2.89
K: 0.2380 0.0000 0.5851 (multiplicity 2)  2 K 2.89
Mg: 0.4845 0.0000 0.3318 (multiplicity 2)  3 Tc 2.68-2.76, 2 Mg 2.89
Tc: 0.2505 0.5000 0.2520 (multiplicity 2)  3 Mg 2.68-2.76, 2 Tc 2.89



First-principles (GGA-PBE) data for a relaxed structure of NaLiUO4, as listed in Alexandria via LeMat-Bulk.

Calculated values
The value obtained for the total moment is 0.00 μB per formula unit. The uncorrected formation energy is -2614 meV/atom. Its total DFT energy (no corrections) is -7.521 eV/atom.

Cell: 6.2232 7.0236 9.1857 Å, 90.00 90.00 90.00°
With the nearest neighbours (Å) after each atom.
Space group Imma (No. 74)
Inequivalent atoms, fractional coordinates:
Na: 0.2500 0.2500 0.2500 (multiplicity 4)  6 O 2.34-2.38
Li: 0.0000 0.2500 0.6460 (multiplicity 4)  4 O 2.19-2.21
U: 0.0000 0.0000 0.0000 (multiplicity 4)  2 O 1.94
O: 0.0000 0.9995 0.2108 (multiplicity 8)  1 U 1.94
O: 0.2146 0.2500 0.9966 (multiplicity 8)  2 U 2.21, 1 Li 2.21, 1 Na 2.34



First-principles (GGA-PBE) data for a relaxed structure of TbNd4SmHo2, as listed in Alexandria via LeMat-Bulk.

Calculated values
The value obtained for the total moment is 0.00 μB per formula unit. The calculation puts the energy of formation from the pure elements at 0.01 eV per atom. Its total DFT energy (no corrections) is -4.682 eV/atom.

Cell: 6.2719 3.6322 11.9418 Å, 90.00 100.22 90.00°
With the nearest neighbours (Å) after each atom.
Space group P2/m (No. 10)
Inequivalent atoms, fractional coordinates:
Tb: 0.0000 0.0000 0.0000 (multiplicity 1)  6 Nd 3.60-3.61, 4 Ho 3.62, 2 Tb 3.63
Nd: 0.2498 0.5000 0.2499 (multiplicity 2)  2 Tb 3.61, 3 Ho 3.61, 1 Sm 3.61, 6 Nd 3.62-3.63
Nd: 0.2516 0.0000 0.7519 (multiplicity 2)  3 Ho 3.59-3.62, 1 Tb 3.60, 6 Nd 3.62-3.63, 2 Sm 3.63
Sm: 0.0000 0.5000 0.5000 (multiplicity 1)  6 Nd 3.61-3.63, 4 Ho 3.62, 2 Sm 3.63
Ho: 0.5000 0.0000 0.5000 (multiplicity 1)  6 Nd 3.61-3.62, 4 Sm 3.62, 2 Ho 3.63
Ho: 0.5000 0.5000 0.0000 (multiplicity 1)  6 Nd 3.59-3.61, 4 Tb 3.62, 2 Ho 3.63



First-principles (GGA-PBE) data for a relaxed structure of Ca2InHRh, as listed in Alexandria via LeMat-Bulk.

Calculated values
The value obtained for the total moment is 0.00 μB per formula unit. Its total DFT energy (no corrections) is -3.928 eV/atom.

Cell: 5.0855 5.0855 3.7623 Å, 90.00 90.00 90.00°
With the nearest neighbours (Å) after each atom.
Space group P4/mmm (No. 123)
Inequivalent atoms, fractional coordinates:
Ca: 0.0000 0.5000 0.0000 (multiplicity 2)  2 H 2.54
In: 0.0000 0.0000 0.5000 (multiplicity 1)  8 Ca 3.16
H: 0.5000 0.5000 0.0000 (multiplicity 1)  2 Rh 1.88
Rh: 0.5000 0.5000 0.5000 (multiplicity 1)  2 H 1.88



Question: What is the total DFT energy (no corrections) in the sixth record?
Answer: -2.016 eV/atom